(1)
! RbSnHg PBE relaxed; values from VASP
! - Space group: F-43m, No. 216
! - ΔE to the lowest computed polymorph: 0.000 eV/atom
&SYSTEM
  ibrav = 0, nat = 12, ntyp = 3
/
ATOMIC_SPECIES
Rb 85.47 Rb.upf
Sn 118.71 Sn.upf
Hg 200.59 Hg.upf
CELL_PARAMETERS angstrom
7.697 0.000 0.000
0.000 7.697 0.000
0.000 0.000 7.697
ATOMIC_POSITIONS angstrom
Rb 0.000 0.000 0.000
Rb 0.000 3.848 3.848
Rb 3.848 0.000 3.848
Rb 3.848 3.848 0.000
Sn 0.000 0.000 3.848
Sn 0.000 3.848 0.000
Sn 3.848 0.000 0.000
Sn 3.848 3.848 3.848
Hg 1.924 1.924 1.924
Hg 1.924 5.773 5.773
Hg 5.773 1.924 5.773
Hg 5.773 5.773 1.924

(2)
! NaPa PBE relaxed; values from VASP
! - Space group: P-6m2, No. 187
! - Magnetic moment: 0.04 μB per cell
! - ΔE to the lowest computed polymorph: 0.000 eV/atom
&SYSTEM
  ibrav = 0, nat = 2, ntyp = 2
/
ATOMIC_SPECIES
Na 22.99 Na.upf
Pa 231.04 Pa.upf
CELL_PARAMETERS angstrom
3.084 0.000 0.000
-1.542 2.671 0.000
0.000 0.000 6.422
ATOMIC_POSITIONS angstrom
Na 0.000 0.000 0.000
Pa 1.542 0.890 3.211

(3)
! Ge2WAu PBE relaxed; values from VASP
! - Space group: F-43m, No. 216
! - Magnetic moment: 0.78 μB per cell
! - Calculated total energy: -0.20764 Ha/atom
&SYSTEM
  ibrav = 0, nat = 16, ntyp = 3
/
ATOMIC_SPECIES
Ge 72.64 Ge.upf
W 183.84 W.upf
Au 196.97 Au.upf
CELL_PARAMETERS angstrom
6.525 0.000 0.000
0.000 6.525 0.000
0.000 0.000 6.525
ATOMIC_POSITIONS angstrom
Ge 0.000 0.000 0.000
Ge 0.000 3.263 3.263
Ge 1.631 1.631 1.631
Ge 1.631 4.894 4.894
Ge 3.263 0.000 3.263
Ge 3.263 3.263 0.000
Ge 4.894 1.631 4.894
Ge 4.894 4.894 1.631
W 0.000 0.000 3.263
W 0.000 3.263 0.000
W 3.263 0.000 0.000
W 3.263 3.263 3.263
Au 1.631 1.631 4.894
Au 1.631 4.894 1.631
Au 4.894 1.631 1.631
Au 4.894 4.894 4.894

(4)
! TaB4Pd PBE relaxed; values from VASP
! - Space group: P6/mmm, No. 191
! - Magnetic moment: 0.01 μB per cell
! - ΔE to the lowest computed polymorph: 0.000 eV/atom
&SYSTEM
  ibrav = 0, nat = 6, ntyp = 3
/
ATOMIC_SPECIES
Ta 180.95 Ta.upf
B 10.81 B.upf
Pd 106.42 Pd.upf
CELL_PARAMETERS angstrom
3.052 0.000 0.000
-1.526 2.643 0.000
0.000 0.000 7.002
ATOMIC_POSITIONS angstrom
Ta 0.000 0.000 0.000
B 0.000 1.762 1.673
B 0.000 1.762 5.328
B 1.526 0.881 1.673
B 1.526 0.881 5.328
Pd 0.000 0.000 3.501

(5)
! SmBiSeO2 PBE relaxed; values from VASP
! - Space group: I4mm, No. 107
! - Magnetic moment: 0.00 μB per cell
! - Calculated total energy: -0.20280 Ha/atom
&SYSTEM
  ibrav = 0, nat = 10, ntyp = 4
/
ATOMIC_SPECIES
Sm 150.36 Sm.upf
Bi 208.98 Bi.upf
Se 78.96 Se.upf
O 16.00 O.upf
CELL_PARAMETERS angstrom
3.885 0.000 0.000
0.000 3.885 0.000
0.000 0.000 12.951
ATOMIC_POSITIONS angstrom
Sm 0.000 0.000 0.000
Sm 1.942 1.942 6.476
Bi 0.000 0.000 3.921
Bi 1.942 1.942 10.396
Se 0.000 0.000 8.976
Se 1.942 1.942 2.500
O 0.000 1.942 1.091
O 0.000 1.942 7.566
O 1.942 0.000 1.091
O 1.942 0.000 7.566

(6)
! Er3Sc3FeBi2 PBE relaxed; values from VASP
! - Space group: P-62m, No. 189
! - Magnetic moment: 0.52 μB per cell
! - ΔE to the lowest computed polymorph: 0.000 eV/atom
&SYSTEM
  ibrav = 0, nat = 9, ntyp = 4
/
ATOMIC_SPECIES
Er 167.26 Er.upf
Sc 44.96 Sc.upf
Fe 55.84 Fe.upf
Bi 208.98 Bi.upf
CELL_PARAMETERS angstrom
7.939 0.000 0.000
-3.970 6.876 0.000
0.000 0.000 4.124
ATOMIC_POSITIONS angstrom
Er -2.443 4.231 0.000
Er 1.527 2.645 0.000
Er 4.885 0.000 0.000
Sc -0.879 1.523 2.062
Sc 1.758 0.000 2.062
Sc 3.090 5.353 2.062
Fe 0.000 0.000 0.000
Bi 0.000 4.584 2.062
Bi 3.970 2.292 2.062

(7)
! Y2Nb4Si3N3 PBE relaxed; values from VASP
! - Space group: C2/c, No. 15
! - Magnetic moment: 0.00 μB per cell
! - Calculated total energy: -0.32176 Ha/atom
&SYSTEM
  ibrav = 0, nat = 24, ntyp = 4
/
ATOMIC_SPECIES
Y 88.91 Y.upf
Nb 92.91 Nb.upf
Si 28.09 Si.upf
N 14.01 N.upf
CELL_PARAMETERS angstrom
4.810 -2.784 0.000
4.810 2.784 0.000
-3.386 0.000 13.298
ATOMIC_POSITIONS angstrom
Y 2.334 2.331 8.202
Y 2.208 2.331 11.744
Y 4.027 -2.331 1.554
Y 3.901 -2.331 5.095
Nb 2.405 0.458 1.104
Nb 2.310 0.466 5.540
Nb 0.712 -0.458 7.753
Nb 0.617 -0.466 12.188
Nb 5.618 0.466 1.109
Nb 5.523 0.458 5.545
Nb 3.925 -0.466 7.758
Nb 3.830 -0.458 12.193
Si -0.214 0.870 9.971
Si 1.479 -0.870 3.322
Si 3.964 0.398 3.324
Si 2.271 -0.398 9.973
Si 4.756 0.870 9.976
Si 6.449 -0.870 3.327
N 0.712 1.392 6.649
N 4.041 1.445 0.002
N 3.887 1.445 6.646
N 2.405 -1.392 0.000
N 2.348 -1.445 6.651
N 2.194 -1.445 13.295

(8)
! ThNbSn PBE relaxed; values from VASP
! - Space group: F-43m, No. 216
! - Magnetic moment: 0.34 μB per cell
! - Calculated total energy: -0.25219 Ha/atom
&SYSTEM
  ibrav = 0, nat = 12, ntyp = 3
/
ATOMIC_SPECIES
Th 232.04 Th.upf
Nb 92.91 Nb.upf
Sn 118.71 Sn.upf
CELL_PARAMETERS angstrom
6.873 0.000 0.000
0.000 6.873 0.000
0.000 0.000 6.873
ATOMIC_POSITIONS angstrom
Th 0.000 0.000 0.000
Th 0.000 3.437 3.437
Th 3.437 0.000 3.437
Th 3.437 3.437 0.000
Nb 1.718 1.718 5.155
Nb 1.718 5.155 1.718
Nb 5.155 1.718 1.718
Nb 5.155 5.155 5.155
Sn 0.000 0.000 3.437
Sn 0.000 3.437 0.000
Sn 3.437 0.000 0.000
Sn 3.437 3.437 3.437

(9)
! NaGdTc PBE relaxed; values from VASP
! - Space group: F-43m, No. 216
! - Magnetic moment: 4.79 μB per cell
! - ΔE to the lowest computed polymorph: 0.010 eV/atom
&SYSTEM
  ibrav = 0, nat = 12, ntyp = 3
/
ATOMIC_SPECIES
Na 22.99 Na.upf
Gd 157.25 Gd.upf
Tc 98.00 Tc.upf
CELL_PARAMETERS angstrom
6.782 0.000 0.000
0.000 6.782 0.000
0.000 0.000 6.782
ATOMIC_POSITIONS angstrom
Na 0.000 0.000 0.000
Na 0.000 3.391 3.391
Na 3.391 0.000 3.391
Na 3.391 3.391 0.000
Gd 1.695 1.695 1.695
Gd 1.695 5.086 5.086
Gd 5.086 1.695 5.086
Gd 5.086 5.086 1.695
Tc 0.000 0.000 3.391
Tc 0.000 3.391 0.000
Tc 3.391 0.000 0.000
Tc 3.391 3.391 3.391

(10)
! Ta2BeB3 PBE relaxed; values from VASP
! - Space group: Fmmm, No. 69
! - Magnetic moment: 0.00 μB per cell
! - Calculated total energy: -0.31632 Ha/atom
&SYSTEM
  ibrav = 0, nat = 12, ntyp = 3
/
ATOMIC_SPECIES
Ta 180.95 Ta.upf
Be 9.01 Be.upf
B 10.81 B.upf
CELL_PARAMETERS angstrom
0.000 3.272 5.504
3.182 0.000 5.504
3.182 3.272 0.000
ATOMIC_POSITIONS angstrom
Ta 3.182 1.633 5.504
Ta 1.591 1.636 2.752
Ta 4.772 4.908 8.256
Ta 3.182 4.911 5.504
Be 3.182 3.272 3.671
Be 3.182 3.272 7.337
B 3.182 3.272 1.790
B 4.810 3.272 4.610
B 4.810 3.272 6.398
B 1.553 3.272 4.610
B 1.553 3.272 6.398
B 3.182 3.272 9.218

(11)
! TbSnB4 PBE relaxed; values from VASP
! - Space group: Immm, No. 71
! - Magnetic moment: 0.00 μB per cell
! - ΔE to the lowest computed polymorph: 0.000 eV/atom
&SYSTEM
  ibrav = 0, nat = 12, ntyp = 3
/
ATOMIC_SPECIES
Tb 158.93 Tb.upf
Sn 118.71 Sn.upf
B 10.81 B.upf
CELL_PARAMETERS angstrom
3.218 0.000 0.000
0.000 5.328 0.000
0.000 0.000 8.356
ATOMIC_POSITIONS angstrom
Tb 0.000 0.000 0.000
Tb 1.609 2.664 4.178
Sn 0.000 0.000 4.178
Sn 1.609 2.664 0.000
B 0.000 1.748 2.169
B 0.000 1.748 6.187
B 0.000 3.580 2.169
B 0.000 3.580 6.187
B 1.609 0.916 2.009
B 1.609 0.916 6.348
B 1.609 4.411 2.009
B 1.609 4.411 6.348

(12)
! MgFe2Bi PBE relaxed; values from VASP
! - Space group: Pm-3m, No. 221
! - Magnetic moment: 15.94 μB per cell
! - ΔE to the lowest computed polymorph: 0.128 eV/atom
&SYSTEM
  ibrav = 0, nat = 16, ntyp = 3
/
ATOMIC_SPECIES
Mg 24.30 Mg.upf
Fe 55.84 Fe.upf
Bi 208.98 Bi.upf
CELL_PARAMETERS angstrom
6.281 0.000 0.000
0.000 6.281 0.000
0.000 0.000 6.281
ATOMIC_POSITIONS angstrom
Mg 0.000 0.000 0.000
Mg 0.000 0.000 3.141
Mg 0.000 3.141 0.000
Mg 3.141 0.000 0.000
Fe 1.588 1.588 1.588
Fe 1.588 1.588 4.693
Fe 1.588 4.693 1.588
Fe 1.588 4.693 4.693
Fe 4.693 1.588 1.588
Fe 4.693 1.588 4.693
Fe 4.693 4.693 1.588
Fe 4.693 4.693 4.693
Bi 0.000 3.141 3.141
Bi 3.141 0.000 3.141
Bi 3.141 3.141 0.000
Bi 3.141 3.141 3.141